(1)
Entry from Alexandria via LeMat-Bulk: a relaxed structure of Re2CCl (PBE).

Lattice parameters (Å, degrees): 5.1479 5.1479 5.9151 64.20 64.20 90.00
Fractional coordinates of all 8 atoms:
Cl 0.7500 0.2500 0.5000
Re 0.1876 0.6250 0.2500
Re 0.5624 0.1250 0.2500
C 0.2500 0.7500 0.5000
Re 0.8750 0.8124 0.7500
C 0.5000 0.5000 0.0000
Cl 0.0000 0.0000 0.0000
Re 0.3750 0.4376 0.7500

M_tot = 0.00 μB per formula unit
excess energy over the best structure of this formula in the dataset = 0.0000 eV/atom
DFT total energy = -0.575 Ry per atom
E_form (uncorrected) = 1.1641 eV/atom
space-group type = No. 122

---

(2)
Entry from Alexandria via LeMat-Bulk: a relaxed structure of TbThZn4 (PBE).

Lattice parameters (Å, degrees): 5.5228 5.5228 5.5228 60.00 60.00 60.00
Fractional coordinates of all 6 atoms:
Tb 0.2500 0.2500 0.2500
Th 0.0000 0.0000 0.0000
Zn 0.6240 0.6240 0.1280
Zn 0.6240 0.6240 0.6240
Zn 0.1280 0.6240 0.6240
Zn 0.6240 0.1280 0.6240

formation energy = -278 meV/atom
M_tot = 0.00 μB per formula unit
excess energy over the best structure of this formula in the dataset = 0.0000 eV/atom
DFT total energy = -0.230 Ry per atom
space-group type = No. 216

---

(3)
Entry from Alexandria via LeMat-Bulk: a relaxed structure of InAsCl2 (PBE).

Lattice parameters (Å, degrees): 7.7364 7.7364 7.7364 153.04 148.24 42.13
Fractional coordinates of all 4 atoms:
As 0.2836 0.7836 0.5000
Cl 0.7640 0.2640 0.5000
In 0.4394 0.4394 0.0000
Cl 0.0130 0.0130 0.0000

M_tot = 0.00 μB per formula unit
excess energy over the best structure of this formula in the dataset = 0.2689 eV/atom
DFT total energy = -0.219 Ry per atom
E_form (uncorrected) = -0.2104 eV/atom
space-group type = No. 44

---

(4)
Entry from Alexandria via LeMat-Bulk: a relaxed structure of ZrP4Ir (PBE).

Lattice parameters (Å, degrees): 5.0361 5.0361 5.0361 60.00 60.00 60.00
Fractional coordinates of all 6 atoms:
P 0.1213 0.6262 0.6262
Ir 0.0000 0.0000 0.0000
P 0.6262 0.1213 0.6262
P 0.6262 0.6262 0.6262
P 0.6262 0.6262 0.1213
Zr 0.2500 0.2500 0.2500

formation energy = 288 meV/atom
M_tot = 0.00 μB per formula unit
DFT total energy = -0.457 Ry per atom
space-group type = No. 216

---

Which formula does entry 4 have? ZrP4Ir

---

Among the records above, which one has the lowest DFT total energy? Re2CCl

---

Please write out number 4 again, unchanged.
Entry from Alexandria via LeMat-Bulk: a relaxed structure of ZrP4Ir (PBE).

Lattice parameters (Å, degrees): 5.0361 5.0361 5.0361 60.00 60.00 60.00
Fractional coordinates of all 6 atoms:
P 0.1213 0.6262 0.6262
Ir 0.0000 0.0000 0.0000
P 0.6262 0.1213 0.6262
P 0.6262 0.6262 0.6262
P 0.6262 0.6262 0.1213
Zr 0.2500 0.2500 0.2500

formation energy = 288 meV/atom
M_tot = 0.00 μB per formula unit
DFT total energy = -0.457 Ry per atom
space-group type = No. 216